This record from the Alexandria database describes a PBEsol-optimized structure of KFeS2O8. The functional is SCAN.

Cell and atoms, written as extended XYZ:
```
12
Lattice="-1.2109 -4.6643 1.5322 -0.1714 -3.7695 -3.3662 7.6814 -1.7043 1.3187" Properties=species:S:1:pos:R:3 pbc="T T T"
S 5.0045 -3.8844 0.3524
S 1.2947 -6.2536 -0.8677
K 0.0000 0.0000 0.0000
Fe 3.8407 -0.8521 0.6593
O 4.5040 -4.0312 -1.0354
O 5.1313 -2.4204 0.6467
O 4.0102 -4.4563 1.2916
O 1.1678 -7.7176 -1.1621
O -0.0069 -5.6234 -1.0288
O 6.3061 -4.5146 0.5134
O 2.2889 -5.6817 -1.8069
O 1.7951 -6.1068 0.5200
```

Properties
DOS(E_F) ... 0.00 states/eV per atom
Spin magnetization ... 0.4178 μB/atom
Formation energy without anion corrections ... -1762 meV/atom
E_tot ... -9.725 eV/atom
Symmetry ... C2/m, No. 12